An optimized crystal structure of CaNiN2O. Source: the Alexandria database, functional PBE+U.

Cell: 4.5166 4.5166 4.2553 Å, 90.00 90.00 90.00°
Fractional coordinates of all 5 atoms:
Ca 0.0000 0.0000 0.0000
Ni 0.5000 0.5000 0.5000
N 0.0000 0.5000 0.0000
N 0.5000 0.0000 0.0000
O 0.0000 0.0000 0.5000

Values from the calculation:
The calculation puts the calculated total energy at -3.675 eV/atom. The calculation puts the density of states at the Fermi level at 3.6 states/eV per cell.

---

An optimized crystal structure of CaNiN2O. Source: the Alexandria database, functional PBE+U.

Cell: 3.7063 3.7063 4.1382 Å, 90.00 90.00 90.00°
Fractional coordinates of all 5 atoms:
Ca 0.0000 0.0000 0.0000
Ni 0.5000 0.5000 0.5000
N 0.0000 0.5000 0.5000
N 0.5000 0.0000 0.5000
O 0.5000 0.5000 0.0000

Values from the calculation:
The calculation puts the calculated total energy at -5.052 eV/atom. The calculation puts the density of states at the Fermi level at 2.7 states/eV per cell.

---

- Among the records above, which one has the highest calculated total energy?
  number 1